Entry 1:
V3CuCl after structural relaxation, computed with PBE.

Total magnetization, μB/cell: 3.351
Crystal system: cubic
Calculated total energy, eV/f.u.: -30.0
Fermi-level density of states, states/eV/f.u.: 4.660
Energy above the lowest structure with this stoichiometry, meV/atom: 0

Structure (extended XYZ):
```
5
Lattice="4.251 0.000 0.000 0.000 4.251 0.000 0.000 0.000 4.251" Properties=species:S:1:pos:R:3 pbc="T T T"
V 0.000 0.000 2.125
V 0.000 2.125 0.000
V 2.125 0.000 0.000
Cu 2.125 2.125 2.125
Cl 0.000 0.000 0.000
```

=====

Entry 2:
VCu2Cl6 after structural relaxation, computed with PBE.

Total magnetization, μB/cell: 2.074
Crystal system: monoclinic
Calculated total energy, eV/f.u.: -35.5
Fermi-level density of states, states/eV/f.u.: 7.301
Energy above the lowest structure with this stoichiometry, meV/atom: 19

Structure (extended XYZ):
```
18
Lattice="6.421 -6.896 0.000 6.421 6.896 0.000 -0.813 0.000 5.871" Properties=species:S:1:pos:R:3 pbc="T T T"
V 5.811 5.796 4.403
V 6.218 -5.796 1.468
Cu 4.443 0.006 4.157
Cu 4.849 -0.006 1.222
Cu 7.180 0.006 4.649
Cu 7.586 -0.006 1.714
Cl 0.786 0.785 3.576
Cl 4.261 4.395 5.024
Cl 1.193 -0.785 0.641
Cl 4.564 1.537 2.672
Cl 7.361 4.395 3.782
Cl 4.158 -1.537 5.607
Cl 7.871 1.537 0.264
Cl 4.668 -4.395 2.089
Cl 7.465 -1.537 3.200
Cl 10.836 0.785 5.230
Cl 7.767 -4.395 0.847
Cl 11.242 -0.785 2.295
```

=====

Entry 3:
Cu2WCl after structural relaxation, computed with PBE.

Total magnetization, μB/cell: 0.000
Crystal system: monoclinic
Calculated total energy, eV/f.u.: -20.7
Fermi-level density of states, states/eV/f.u.: 2.565
Energy above the lowest structure with this stoichiometry, meV/atom: 284

Structure (extended XYZ):
```
8
Lattice="8.490 0.000 0.000 0.000 2.781 0.000 -0.860 0.000 4.937" Properties=species:S:1:pos:R:3 pbc="T T T"
Cu 0.000 0.000 0.000
Cu 1.897 1.390 0.888
Cu 4.245 1.390 0.000
Cu 6.142 0.000 0.888
W 1.585 0.000 3.458
W 5.830 1.390 3.458
Cl -0.345 1.390 2.565
Cl 3.900 0.000 2.565
```

=====

Entry 4:
CuWCl2 after structural relaxation, computed with PBE.

Total magnetization, μB/cell: 0.001
Crystal system: tetragonal
Calculated total energy, eV/f.u.: -17.8
Fermi-level density of states, states/eV/f.u.: 3.257
Energy above the lowest structure with this stoichiometry, meV/atom: 725

Structure (extended XYZ):
```
4
Lattice="2.958 0.000 0.000 0.000 2.958 0.000 0.000 0.000 9.213" Properties=species:S:1:pos:R:3 pbc="T T T"
Cu 0.000 0.000 0.000
W 0.000 0.000 4.607
Cl 1.479 1.479 3.089
Cl 1.479 1.479 6.124
```

=====

Entry 5:
CuWCl2 after structural relaxation, computed with PBE.

Total magnetization, μB/cell: 11.983
Crystal system: cubic
Calculated total energy, eV/f.u.: -15.8
Fermi-level density of states, states/eV/f.u.: 5.766
Energy above the lowest structure with this stoichiometry, meV/atom: 1210

Structure (extended XYZ):
```
16
Lattice="6.559 0.000 0.000 0.000 6.559 0.000 0.000 0.000 6.559" Properties=species:S:1:pos:R:3 pbc="T T T"
Cu 0.000 0.000 0.000
Cu 0.000 3.280 3.280
Cu 3.280 0.000 3.280
Cu 3.280 3.280 0.000
W 1.640 1.640 1.640
W 1.640 4.919 4.919
W 4.919 1.640 4.919
W 4.919 4.919 1.640
Cl 0.000 0.000 3.280
Cl 0.000 3.280 0.000
Cl 1.640 1.640 4.919
Cl 1.640 4.919 1.640
Cl 3.280 0.000 0.000
Cl 3.280 3.280 3.280
Cl 4.919 1.640 1.640
Cl 4.919 4.919 4.919
```

=====

Entry 6:
CuWCl2 after structural relaxation, computed with PBE.

Total magnetization, μB/cell: 0.000
Crystal system: monoclinic
Calculated total energy, eV/f.u.: -18.4
Fermi-level density of states, states/eV/f.u.: 2.331
Energy above the lowest structure with this stoichiometry, meV/atom: 570

Structure (extended XYZ):
```
8
Lattice="5.872 0.000 0.000 0.000 8.006 0.000 -0.045 0.000 2.899" Properties=species:S:1:pos:R:3 pbc="T T T"
Cu 0.000 0.000 0.000
Cu 2.936 4.003 0.000
W 0.000 4.003 0.000
W 2.936 0.000 0.000
Cl 1.468 2.002 0.000
Cl 1.468 6.005 0.000
Cl 4.404 2.002 0.000
Cl 4.404 6.005 0.000
```

=====

Entry 7:
CuW2Cl after structural relaxation, computed with PBE.

Total magnetization, μB/cell: 0.000
Crystal system: orthorhombic
Calculated total energy, eV/f.u.: -27.4
Fermi-level density of states, states/eV/f.u.: 2.853
Energy above the lowest structure with this stoichiometry, meV/atom: 739

Structure (extended XYZ):
```
8
Lattice="5.330 0.000 0.000 0.000 8.519 0.000 0.000 0.000 2.734" Properties=species:S:1:pos:R:3 pbc="T T T"
Cu 0.000 0.000 0.000
Cu 2.665 4.260 0.000
W 1.332 2.130 1.367
W 1.332 6.389 1.367
W 3.997 2.130 1.367
W 3.997 6.389 1.367
Cl 0.000 4.260 0.000
Cl 2.665 0.000 0.000
```

=====

Entry 8:
CuW2Cl after structural relaxation, computed with PBE.

Total magnetization, μB/cell: 0.000
Crystal system: tetragonal
Calculated total energy, eV/f.u.: -27.4
Fermi-level density of states, states/eV/f.u.: 2.495
Energy above the lowest structure with this stoichiometry, meV/atom: 741

Structure (extended XYZ):
```
8
Lattice="4.450 0.000 0.000 0.000 4.450 0.000 0.000 0.000 6.349" Properties=species:S:1:pos:R:3 pbc="T T T"
Cu 0.000 0.000 0.000
Cu 2.225 2.225 3.175
W 0.000 0.000 3.175
W 0.000 2.225 4.762
W 2.225 0.000 1.587
W 2.225 2.225 0.000
Cl 0.000 2.225 1.587
Cl 2.225 0.000 4.762
```

=====

Number 1: ΔE_f (raw) 0.656 eV/atom. Number 2: ΔE_f (raw) -0.794 eV/atom. Number 3: ΔE_f (raw) 0.579 eV/atom. Number 4: ΔE_f (raw) 0.745 eV/atom. Number 5: ΔE_f (raw) 1.230 eV/atom. Number 6: ΔE_f (raw) 0.590 eV/atom. Number 7: ΔE_f (raw) 1.121 eV/atom. Number 8: ΔE_f (raw) 1.123 eV/atom.